A geometry-optimized La3Tb2Ho4 structure. Source: Alexandria via LeMat-Bulk, functional PBE.

- Size of the total moment: 0.0 μB per formula unit
- E: -82.84 eV/cell
- Calculated density: 7.774 g cm⁻³
- Formation enthalpy at 0 K: 0.10 eV per atom

Cell lengths 6.174, 11.281, 11.281 Å; angles 63.33, 63.21, 63.21 degrees
Atoms (fractional coordinates):
La 0.254 0.299 0.032
La 0.250 0.629 0.371
Ho 0.082 0.154 0.398
Tb 0.074 0.486 0.737
Tb 0.574 0.737 0.486
Ho 0.424 0.934 0.178
Tb 0.426 0.263 0.514
La 0.746 0.701 0.968
La 0.750 0.371 0.629
Ho 0.576 0.066 0.822
Ho 0.076 0.822 0.066
Ho 0.418 0.602 0.846
La 0.754 0.032 0.299
Tb 0.926 0.514 0.263
Ho 0.918 0.846 0.602
Ho 0.582 0.398 0.154
La 0.246 0.968 0.701
Ho 0.924 0.178 0.934



A geometry-optimized TlV2Ga2 structure. Source: Alexandria via LeMat-Bulk, functional PBE.

- Size of the total moment: 0.0 μB per formula unit
- E: -51.86 eV/cell
- Calculated density: 8.673 g cm⁻³
- Formation enthalpy at 0 K: 0.15 eV per atom

Cell lengths 7.145, 7.145, 3.343 Å; angles 90.00, 90.00, 90.00 degrees
Atoms (fractional coordinates):
Ga 0.823 0.323 0.500
Tl 0.000 0.000 0.000
V 0.615 0.115 0.000
V 0.885 0.615 0.000
V 0.115 0.385 0.000
Ga 0.177 0.677 0.500
Tl 0.500 0.500 0.000
V 0.385 0.885 0.000
Ga 0.323 0.177 0.500
Ga 0.677 0.823 0.500



A geometry-optimized HIrF6 structure. Source: Alexandria via LeMat-Bulk, functional PBE.

- Size of the total moment: 2.0 μB per formula unit
- E: -35.00 eV/cell
- Calculated density: 4.893 g cm⁻³

Cell lengths 5.119, 5.037, 7.135 Å; angles 51.12, 46.78, 62.84 degrees
Atoms (fractional coordinates):
F 0.449 0.809 0.780
H 0.500 0.500 0.500
F 0.867 0.110 0.768
F 0.133 0.890 0.232
F 0.551 0.191 0.220
F 0.782 0.550 0.281
F 0.218 0.450 0.719
Ir 0.000 0.000 0.000



A geometry-optimized PuPa11 structure. Source: Alexandria via LeMat-Bulk, functional PBE.

- Size of the total moment: 5.2 μB per formula unit
- E: -117.58 eV/cell
- Calculated density: 15.724 g cm⁻³
- Formation enthalpy at 0 K: 0.10 eV per atom

Cell lengths 3.079, 10.503, 10.503 Å; angles 120.00, 90.00, 90.00 degrees
Atoms (fractional coordinates):
Pa 0.500 0.334 0.167
Pa 0.500 0.666 0.833
Pa 0.000 0.500 0.000
Pa 0.500 0.833 0.167
Pa 0.500 0.833 0.666
Pa 0.000 0.667 0.333
Pa 0.000 0.000 0.500
Pa 0.000 0.500 0.500
Pa 0.500 0.167 0.833
Pa 0.000 0.333 0.667
Pa 0.500 0.167 0.334
Pu 0.000 0.000 0.000



A geometry-optimized Zr7Zn2N2 structure. Source: Alexandria via LeMat-Bulk, functional PBE.

- Size of the total moment: 0.0 μB per formula unit
- E: -84.95 eV/cell
- Calculated density: 6.505 g cm⁻³

Cell lengths 6.152, 5.865, 6.152 Å; angles 84.70, 112.68, 95.30 degrees
Atoms (fractional coordinates):
Zn 0.173 0.500 0.173
Zr 0.505 0.765 0.942
N 0.772 0.975 0.228
Zr 0.000 0.000 0.000
Zr 0.557 0.787 0.443
Zr 0.058 0.765 0.495
Zr 0.942 0.235 0.505
Zr 0.443 0.213 0.557
Zr 0.495 0.235 0.058
Zn 0.827 0.500 0.827
N 0.228 0.025 0.772



A geometry-optimized PuICl structure. Source: Alexandria via LeMat-Bulk, functional PBE.

- Size of the total moment: 6.0 μB per formula unit
- E: -21.70 eV/cell
- Calculated density: 6.917 g cm⁻³

Cell lengths 3.698, 3.698, 7.596 Å; angles 104.09, 104.09, 90.00 degrees
Atoms (fractional coordinates):
I 0.039 0.039 0.078
Cl 0.283 0.283 0.566
Pu 0.678 0.678 0.356



A geometry-optimized NbCrPt2 structure. Source: Alexandria via LeMat-Bulk, functional PBE.

- Size of the total moment: 2.1 μB per formula unit
- E: -62.80 eV/cell
- Calculated density: 13.131 g cm⁻³
- Formation enthalpy at 0 K: 0.09 eV per atom

Cell lengths 3.860, 3.860, 9.483 Å; angles 78.26, 78.26, 90.00 degrees
Atoms (fractional coordinates):
Pt 0.135 0.625 0.250
Pt 0.875 0.865 0.750
Pt 0.375 0.385 0.750
Cr 0.250 0.750 0.500
Cr 0.500 0.500 0.000
Nb 0.750 0.250 0.500
Nb 0.000 0.000 0.000
Pt 0.615 0.125 0.250



A geometry-optimized RbPrRe2O8 structure. Source: Alexandria via LeMat-Bulk, functional PBE.

- Size of the total moment: 2.0 μB per formula unit
- E: -93.94 eV/cell
- Calculated density: 4.547 g cm⁻³

Cell lengths 6.159, 6.159, 8.079 Å; angles 90.00, 90.00, 120.00 degrees
Atoms (fractional coordinates):
Re 0.667 0.333 0.238
O 0.333 0.667 0.980
Rb 0.000 0.000 0.000
O 0.348 0.175 0.316
O 0.175 0.827 0.684
O 0.827 0.652 0.316
O 0.825 0.173 0.316
O 0.667 0.333 0.020
Pr 0.000 0.000 0.500
O 0.173 0.348 0.684
Re 0.333 0.667 0.762
O 0.652 0.825 0.684



A geometry-optimized U2ZnCo structure. Source: Alexandria via LeMat-Bulk, functional PBE.

- Size of the total moment: 2.4 μB per formula unit
- E: -29.21 eV/cell
- Calculated density: 13.412 g cm⁻³
- Formation enthalpy at 0 K: 0.44 eV per atom

Cell lengths 2.829, 2.829, 10.848 Å; angles 82.51, 82.51, 60.00 degrees
Atoms (fractional coordinates):
Zn 0.000 0.000 0.000
U 0.905 0.905 0.285
Co 0.500 0.500 0.500
U 0.095 0.095 0.715



A geometry-optimized KPb3Se3 structure. Source: Alexandria via LeMat-Bulk, functional PBE.

- Size of the total moment: 0.0 μB per formula unit
- E: -53.34 eV/cell
- Calculated density: 5.807 g cm⁻³

Cell lengths 7.511, 7.511, 11.365 Å; angles 70.70, 70.70, 60.00 degrees
Atoms (fractional coordinates):
Pb 0.153 0.451 0.639
K 0.333 0.333 0.002
Pb 0.243 0.847 0.361
Se 0.411 0.079 0.783
Se 0.272 0.589 0.217
Se 0.728 0.411 0.783
Se 0.589 0.921 0.217
K 0.667 0.667 0.998
Pb 0.757 0.153 0.639
Pb 0.847 0.549 0.361
Pb 0.451 0.757 0.639
Se 0.921 0.272 0.217
Se 0.079 0.728 0.783
Pb 0.549 0.243 0.361



A geometry-optimized Nd2BePd5 structure. Source: Alexandria via LeMat-Bulk, functional PBE.

- Size of the total moment: 0.0 μB per formula unit
- E: -44.90 eV/cell
- Calculated density: 8.968 g cm⁻³
- Formation enthalpy at 0 K: -0.71 eV per atom

Cell lengths 5.970, 5.970, 6.033 Å; angles 119.66, 119.66, 90.00 degrees
Atoms (fractional coordinates):
Pd 0.264 0.737 0.001
Pd 0.748 0.748 0.495
Pd 0.737 0.264 0.001
Nd 0.252 0.752 0.504
Pd 0.737 0.737 0.001
Nd 0.752 0.252 0.504
Pd 0.264 0.264 0.001
Be 0.023 0.023 0.046



A geometry-optimized Nd7Cd structure. Source: Alexandria via LeMat-Bulk, functional PBE.

- Size of the total moment: 0.0 μB per formula unit
- E: -34.63 eV/cell
- Calculated density: 7.054 g cm⁻³
- Formation enthalpy at 0 K: -0.04 eV per atom

Cell lengths 7.202, 7.202, 7.202 Å; angles 60.00, 60.00, 60.00 degrees
Atoms (fractional coordinates):
Nd 0.500 0.000 0.000
Cd 0.000 0.000 0.000
Nd 0.500 0.500 0.000
Nd 0.000 0.000 0.500
Nd 0.500 0.500 0.500
Nd 0.500 0.000 0.500
Nd 0.000 0.500 0.000
Nd 0.000 0.500 0.500



A geometry-optimized LiPrSm2 structure. Source: Alexandria via LeMat-Bulk, functional PBE.

- Size of the total moment: 0.0 μB per formula unit
- E: -15.70 eV/cell
- Calculated density: 5.788 g cm⁻³
- Formation enthalpy at 0 K: 0.11 eV per atom

Cell lengths 3.596, 3.596, 11.673 Å; angles 81.15, 81.15, 60.02 degrees
Atoms (fractional coordinates):
Sm 0.079 0.079 0.762
Sm 0.254 0.254 0.237
Li 0.667 0.667 0.000
Pr 0.500 0.500 0.501



A geometry-optimized ZrPdO2F structure. Source: Alexandria via LeMat-Bulk, functional PBE.

- Size of the total moment: 0.0 μB per formula unit
- E: -29.14 eV/cell
- Calculated density: 6.202 g cm⁻³

Cell lengths 4.056, 4.056, 4.046 Å; angles 90.00, 90.00, 90.00 degrees
Atoms (fractional coordinates):
Pd 0.000 0.000 0.000
O 0.500 0.000 0.000
O 0.000 0.500 0.000
Zr 0.500 0.500 0.500
F 0.000 0.000 0.500



A geometry-optimized Tb3Ag3RuO8 structure. Source: Alexandria via LeMat-Bulk, functional PBE.

- Size of the total moment: 2.0 μB per formula unit
- E: -98.54 eV/cell
- Calculated density: 7.458 g cm⁻³

Cell lengths 6.807, 6.805, 6.942 Å; angles 119.46, 90.00, 120.01 degrees
Atoms (fractional coordinates):
O 0.237 0.024 0.311
Ag 0.000 0.500 0.000
O 0.763 0.976 0.689
Ru 0.000 0.000 0.500
O 0.270 0.541 0.312
Tb 0.500 0.000 0.500
O 0.787 0.574 0.312
O 0.730 0.459 0.688
Ag 0.000 0.000 0.000
Ag 0.500 0.500 0.000
Tb 0.000 0.500 0.500
O 0.213 0.976 0.689
O 0.787 0.024 0.311
Tb 0.500 0.500 0.500
O 0.213 0.426 0.688



A geometry-optimized LaPrSm3Ho structure. Source: Alexandria via LeMat-Bulk, functional PBE.

- Size of the total moment: 0.0 μB per formula unit
- E: -54.88 eV/cell
- Calculated density: 7.179 g cm⁻³
- Formation enthalpy at 0 K: 0.17 eV per atom

Cell lengths 5.796, 10.621, 6.999 Å; angles 90.74, 90.00, 105.83 degrees
Atoms (fractional coordinates):
La 0.354 0.708 0.974
Ho 0.353 0.705 0.531
Sm 0.220 0.439 0.251
La 0.646 0.292 0.026
Pr 0.055 0.110 0.264
Sm 0.480 0.960 0.256
Sm 0.836 0.672 0.266
Sm 0.164 0.328 0.734
Sm 0.780 0.561 0.749
Sm 0.520 0.040 0.744
Ho 0.647 0.295 0.469
Pr 0.945 0.890 0.736



A geometry-optimized Pm2GaNi2Pt5 structure. Source: Alexandria via LeMat-Bulk, functional PBE.

- Size of the total moment: 0.0 μB per formula unit
- E: -124.43 eV/cell
- Calculated density: 13.994 g cm⁻³
- Formation enthalpy at 0 K: -0.79 eV per atom

Cell lengths 3.959, 9.331, 9.331 Å; angles 90.00, 90.00, 90.00 degrees
Atoms (fractional coordinates):
Ni 0.000 0.377 0.123
Pt 0.500 0.706 0.433
Pt 0.500 0.206 0.067
Ga 0.000 0.500 0.500
Ni 0.000 0.623 0.877
Pm 0.000 0.675 0.175
Pt 0.500 0.567 0.706
Pt 0.500 0.294 0.567
Ga 0.000 0.000 0.000
Ni 0.000 0.123 0.623
Pt 0.500 0.067 0.794
Pt 0.500 0.794 0.933
Pt 0.500 0.500 0.000
Pm 0.000 0.175 0.325
Pm 0.000 0.325 0.825
Pt 0.500 0.433 0.294
Ni 0.000 0.877 0.377
Pt 0.500 0.933 0.206
Pm 0.000 0.825 0.675
Pt 0.500 0.000 0.500



A geometry-optimized Ca3ZrO structure. Source: Alexandria via LeMat-Bulk, functional PBE.

- Size of the total moment: 2.4 μB per formula unit
- E: -23.01 eV/cell
- Calculated density: 3.052 g cm⁻³

Cell lengths 4.983, 4.983, 4.983 Å; angles 90.00, 90.00, 90.00 degrees
Atoms (fractional coordinates):
O 0.000 0.000 0.000
Ca 0.000 0.000 0.500
Zr 0.500 0.500 0.500
Ca 0.000 0.500 0.000
Ca 0.500 0.000 0.000



A geometry-optimized LaHfSiGe2 structure. Source: Alexandria via LeMat-Bulk, functional PBE.

- Size of the total moment: 0.0 μB per formula unit
- E: -30.25 eV/cell
- Calculated density: 6.275 g cm⁻³

Cell lengths 5.085, 5.024, 5.085 Å; angles 90.00, 90.00, 90.00 degrees
Atoms (fractional coordinates):
Ge 0.500 0.000 0.000
La 0.500 0.500 0.500
Ge 0.000 0.000 0.500
Hf 0.000 0.000 0.000
Si 0.000 0.500 0.000



A geometry-optimized TlReN3 structure. Source: Alexandria via LeMat-Bulk, functional PBE.

- Size of the total moment: 0.0 μB per formula unit
- E: -36.33 eV/cell
- Calculated density: 11.393 g cm⁻³

Cell lengths 3.980, 3.980, 3.980 Å; angles 90.00, 90.00, 90.00 degrees
Atoms (fractional coordinates):
Tl 0.500 0.500 0.500
N 0.000 0.000 0.500
N 0.000 0.500 0.000
N 0.500 0.000 0.000
Re 0.000 0.000 0.000